[1]
First-principles (PBE) data for a relaxed structure of Tb6Pr2SmTm, as listed in the Alexandria database.

Lattice parameters (Å, degrees): 8.816 8.816 9.769 94.57 94.57 117.99
Atoms (fractional coordinates):
Tb: 0.019 0.574 0.188
Tb: 0.123 0.742 0.557
Tb: 0.258 0.877 0.943
Tb: 0.295 0.506 0.381
Tb: 0.426 0.981 0.312
Tb: 0.494 0.705 0.119
Tb: 0.506 0.295 0.881
Tb: 0.574 0.019 0.688
Tb: 0.705 0.494 0.619
Tb: 0.742 0.123 0.057
Tb: 0.877 0.258 0.443
Tb: 0.981 0.426 0.812
Pr: 0.195 0.297 0.042
Pr: 0.297 0.195 0.542
Pr: 0.703 0.805 0.458
Pr: 0.805 0.703 0.958
Sm: 0.017 0.983 0.250
Sm: 0.983 0.017 0.750
Tm: 0.407 0.593 0.750
Tm: 0.593 0.407 0.250

Properties
ΔH_f (0 K), eV/atom: 0.116
Final energy, Ry per atom: -0.3335
Symmetry: No. 15
Total magnetic moment, Bohr magnetons per cell: 0.00


[2]
First-principles (PBE) data for a relaxed structure of Tb2PrSm3Tm6, as listed in the Alexandria database.

Lattice parameters (Å, degrees): 6.164 6.164 11.688 95.02 95.02 119.96
Atoms (fractional coordinates):
Tb: 0.167 0.833 0.000
Tb: 0.833 0.167 0.000
Pr: 0.500 0.500 0.000
Sm: 0.000 0.000 0.500
Sm: 0.333 0.667 0.500
Sm: 0.667 0.333 0.500
Tm: 0.082 0.416 0.750
Tm: 0.250 0.250 0.250
Tm: 0.416 0.082 0.750
Tm: 0.584 0.918 0.250
Tm: 0.750 0.750 0.750
Tm: 0.918 0.584 0.250

Properties
ΔH_f (0 K), eV/atom: 0.019
Final energy, Ry per atom: -0.3356
Symmetry: No. 12
Total magnetic moment, Bohr magnetons per cell: 0.00


> What is the formula in the second record?

Tb2PrSm3Tm6